(1)
Compound: Ho5CdCu4
Source: the Alexandria database
Functional: PBE
Structure: optimized geometry

```
Ho5CdCu4
1.0
3.4603 0.0000 0.0000
0.0000 3.4603 0.0000
0.0000 0.0000 18.0355
Ho Cu Cd
5 4 1
Direct
0.5000 0.5000 0.1190
0.5000 0.5000 0.5000
0.5000 0.5000 0.8810
0.5000 0.5000 0.6912
0.5000 0.5000 0.3088
0.0000 0.0000 0.5956
0.0000 0.0000 0.2117
0.0000 0.0000 0.7883
0.0000 0.0000 0.4044
0.0000 0.0000 0.0000
```

Formation energy = -0.271 eV/atom
DOS at the Fermi energy = 0.676 states/eV/atom

=====

(2)
Compound: Dy6Sb2Au
Source: the Alexandria database
Functional: PBE
Structure: optimized geometry

```
Dy6Sb2Au
1.0
4.1036 0.0000 0.0000
0.0000 8.3811 0.0000
0.0000 -4.1905 7.2582
Dy Sb Au
6 2 1
Direct
0.0000 0.9999 0.2526
0.5000 0.5971 0.0000
0.5000 0.0000 0.5971
0.0000 0.2527 0.0000
0.0000 0.7473 0.7474
0.5000 0.4029 0.4029
0.0000 0.3333 0.6666
0.0000 0.6667 0.3334
0.5000 0.0001 0.0000
```

DOS at the Fermi energy = 1.328 states/eV/atom
Formation energy from raw total energies = -0.716 eV/atom

=====

(3)
Compound: La2TbScP4
Source: the Alexandria database
Functional: PBE
Structure: optimized geometry

```
La2TbScP4
1.0
-0.1374 -1.8331 -3.6601
7.0354 -0.8000 0.1365
-3.0756 -5.6476 2.9441
P La Sc Tb
4 2 1 1
Direct
0.5000 0.2354 0.2271
0.0000 0.2491 0.7682
0.5000 0.7646 0.7729
0.0000 0.7509 0.2318
0.0000 0.5000 0.5000
0.5000 0.0000 0.5000
0.0000 0.0000 0.0000
0.5000 0.5000 0.0000
```

Formation energy = -1.516 eV/atom
DOS at the Fermi energy = 0.104 states/eV/atom